Entry 1:
This record from Alexandria describes RbHg6Pb2 after structural relaxation. The functional is PBE.

Values from the calculation:
Formation energy (meV/atom): -57
Offset from the most stable computed form (eV per formula unit): 0.00
Calculated total energy (Ry/atom): -0.08746
DOS(E_F) (states/eV per atom): 0.240

abc: 4.9046 8.5801 8.5801
angles: 60.43 73.39 73.39
With the nearest neighbours (Å) after each atom.
Element x y z (fractional)
Hg (0.1917, 0.1150, 0.5017)  3 Hg 2.90-3.10, 1 Pb 3.12
Hg (0.1917, 0.5017, 0.1150)  3 Hg 2.90-3.10, 1 Pb 3.12
Hg (0.0000, 0.1794, 0.8206)  3 Hg 2.90-3.10
Hg (0.8083, 0.8850, 0.4983)  3 Hg 2.90-3.10, 1 Pb 3.12
Hg (0.8083, 0.4983, 0.8850)  3 Hg 2.90-3.10, 1 Pb 3.12
Hg (0.0000, 0.8206, 0.1794)  3 Hg 2.90-3.10
Pb (0.3804, 0.1196, 0.1196)  6 Hg 3.12-3.35, 1 Pb 3.35
Pb (0.6196, 0.8804, 0.8804)  6 Hg 3.12-3.35, 1 Pb 3.35
Rb (0.5000, 0.5000, 0.5000)  12 Hg 3.70-4.00



Entry 2:
This record from Alexandria describes RbHgPb2 after structural relaxation. The functional is PBE.

Values from the calculation:
Formation energy (meV/atom): 166
Calculated total energy (Ry/atom): -0.14740
DOS(E_F) (states/eV per atom): 0.963

abc: 3.7201 3.7201 12.2397
angles: 81.26 81.26 60.00
With the nearest neighbours (Å) after each atom.
Element x y z (fractional)
Pb (0.8999, 0.8999, 0.3004)  3 Hg 3.22
Pb (0.1001, 0.1001, 0.6996)  3 Hg 3.22
Hg (0.5000, 0.5000, 0.5000)  6 Pb 3.22
Rb (0.0000, 0.0000, 0.0000)  2 Pb 3.62, 6 Rb 3.72



Entry 3:
This record from Alexandria describes Rb2Hg2Pb after structural relaxation. The functional is PBE.

Values from the calculation:
Formation energy (meV/atom): 90
Offset from the most stable computed form (eV per formula unit): 1.54
Calculated total energy (Ry/atom): -0.08525
DOS(E_F) (states/eV per atom): 1.027

abc: 5.5086 5.5086 8.0349
angles: 69.95 69.95 90.00
With the nearest neighbours (Å) after each atom.
Element x y z (fractional)
Hg (0.4001, 0.4001, 0.1997)  1 Hg 2.81
Hg (0.5999, 0.5999, 0.8003)  1 Hg 2.81
Rb (0.2500, 0.7500, 0.5000)  4 Hg 3.47
Rb (0.7500, 0.2500, 0.5000)  4 Hg 3.47
Pb (0.0000, 0.0000, 0.0000)  8 Hg 4.14, 8 Rb 4.46



Entry 4:
This record from Alexandria describes Rb2Hg2Pb after structural relaxation. The functional is PBE.

Values from the calculation:
Formation energy (meV/atom): -30
Offset from the most stable computed form (eV per formula unit): 0.94
Calculated total energy (Ry/atom): -0.09401
DOS(E_F) (states/eV per atom): 0.215

abc: 10.4690 10.4690 3.6309
angles: 90.00 90.00 90.00
With the nearest neighbours (Å) after each atom.
Element x y z (fractional)
Hg (0.3937, 0.1063, 0.5000)  1 Hg 3.15
Hg (0.1063, 0.6063, 0.5000)  1 Hg 3.15
Hg (0.8937, 0.3937, 0.5000)  1 Hg 3.15
Hg (0.6063, 0.8937, 0.5000)  1 Hg 3.15
Rb (0.6858, 0.1858, 0.0000)  6 Hg 3.57-3.65, 2 Rb 3.63, 2 Pb 3.82
Rb (0.8142, 0.6858, 0.0000)  6 Hg 3.57-3.65, 2 Rb 3.63, 2 Pb 3.82
Rb (0.3142, 0.8142, 0.0000)  6 Hg 3.57-3.65, 2 Rb 3.63, 2 Pb 3.82
Rb (0.1858, 0.3142, 0.0000)  6 Hg 3.57-3.65, 2 Rb 3.63, 2 Pb 3.82
Pb (0.5000, 0.5000, 0.0000)  2 Pb 3.63, 4 Rb 3.82
Pb (0.0000, 0.0000, 0.0000)  2 Pb 3.63, 4 Rb 3.82